No. 1
Here is a relaxed PmDy2In2Ag2 crystal from Alexandria via LeMat-Bulk. Energies are from PBE.

Lattice parameters (Å, degrees): 9.3628 9.3628 9.3628 30.20 30.20 30.20
Atoms (fractional coordinates):
Pm1 0.0000 0.0000 0.0000
Dy1 0.1268 0.1268 0.1268
Dy2 0.8732 0.8732 0.8732
In1 0.2584 0.2584 0.2584
In2 0.7416 0.7416 0.7416
Ag1 0.4033 0.4033 0.4033
Ag2 0.5967 0.5967 0.5967

Computed properties:
- crystal system = trigonal
- energy relative to the elements (eV/atom) = -0.29
- DFT total energy (eV per atom) = -3.8809

=====

No. 2
Here is a relaxed LaDy2TeO8 crystal from Alexandria via LeMat-Bulk. Energies are from PBE.

Lattice parameters (Å, degrees): 5.0194 5.0194 7.1364 90.00 90.00 90.72
Atoms (fractional coordinates):
La1 0.0000 0.0000 0.0000
Dy1 0.5000 0.5000 0.2624
Dy2 0.5000 0.5000 0.7376
Te1 0.0000 0.0000 0.5000
O1 0.1845 0.8155 0.2977
O2 0.1845 0.8155 0.7023
O3 0.2777 0.2777 0.5000
O4 0.3217 0.3217 0.0000
O5 0.6783 0.6783 0.0000
O6 0.7223 0.7223 0.5000
O7 0.8155 0.1845 0.2977
O8 0.8155 0.1845 0.7023

Computed properties:
- crystal system = orthorhombic
- energy relative to the elements, uncorrected (meV/atom) = -2515
- DFT total energy (eV per atom) = -7.2596

=====

No. 3
Here is a relaxed LaPrHgPb crystal from Alexandria via LeMat-Bulk. Energies are from PBE.

Lattice parameters (Å, degrees): 5.5686 5.5686 5.5686 60.00 60.00 60.00
Atoms (fractional coordinates):
La1 0.0000 0.0000 0.0000
Pr1 0.5000 0.5000 0.5000
Hg1 0.2500 0.2500 0.2500
Pb1 0.7500 0.7500 0.7500

Computed properties:
- crystal system = cubic
- energy relative to the elements (eV/atom) = -0.53
- DFT total energy (eV per atom) = -3.9627

=====

No. 4
Here is a relaxed B5C crystal from Alexandria via LeMat-Bulk. Energies are from PBE.

Lattice parameters (Å, degrees): 4.0099 4.8608 5.5279 66.75 82.00 65.66
Atoms (fractional coordinates):
B1 0.0695 0.3918 0.1737
B2 0.1786 0.9802 0.8627
B3 0.2158 0.6773 0.1717
B4 0.4113 0.2218 0.9460
B5 0.4257 0.5607 0.6296
B6 0.5743 0.4393 0.3704
B7 0.5887 0.7782 0.0540
B8 0.7842 0.3227 0.8283
B9 0.8214 0.0198 0.1373
B10 0.9305 0.6082 0.8263
C1 0.0943 0.8727 0.6333
C2 0.9057 0.1273 0.3667

Computed properties:
- crystal system = triclinic
- polymorph energy (0 for the lowest one) (meV per atom) = 177
- energy relative to the elements (eV/atom) = 0.37
- DFT total energy (eV per atom) = -6.7281

=====

No. 5
Here is a relaxed CsSrF3 crystal from Alexandria via LeMat-Bulk. Energies are from PBE.

Lattice parameters (Å, degrees): 4.3135 4.3135 15.9167 90.00 90.00 120.00
Atoms (fractional coordinates):
Cs1 0.0000 0.0000 0.0000
Cs2 0.0000 0.0000 0.5000
Sr1 0.3333 0.6667 0.2500
Sr2 0.6667 0.3333 0.7500
F1 0.0000 0.0000 0.2500
F2 0.0000 0.0000 0.7500
F3 0.3333 0.6667 0.1052
F4 0.3333 0.6667 0.3948
F5 0.6667 0.3333 0.6052
F6 0.6667 0.3333 0.8948

Computed properties:
- crystal system = hexagonal
- energy relative to the elements, uncorrected (meV/atom) = -3298
- polymorph energy (0 for the lowest one) (meV per atom) = 135
- DFT total energy (eV per atom) = -4.9280

=====

No. 6
Here is a relaxed BaSi2Tc crystal from Alexandria via LeMat-Bulk. Energies are from PBE.

Lattice parameters (Å, degrees): 5.8315 5.8315 5.8315 148.17 122.87 66.90
Atoms (fractional coordinates):
Ba1 0.0000 0.0000 0.0000
Si1 0.3068 0.8068 0.5000
Si2 0.5182 0.5182 0.0000
Tc1 0.7038 0.2038 0.5000

Computed properties:
- crystal system = orthorhombic
- energy relative to the elements, uncorrected (meV/atom) = 583
- polymorph energy (0 for the lowest one) (meV per atom) = 852
- DFT total energy (eV per atom) = -5.2004

=====

Which of these has the highest DFT total energy?
PmDy2In2Ag2